(1)
First-principles (PBE-GGA) data for crystalline AcPt4Au at its relaxed geometry, as listed in Alexandria.

Properties
Its crystal system is cubic. As for the electronic total energy: -5.93 eV per atom.

```
6
Lattice="5.495 0.000 0.000 2.748 4.759 0.000 2.748 1.586 4.487" Properties=species:S:1:pos:R:3 pbc="T T T"
Ac 2.748 1.586 1.122
Au 0.000 0.000 0.000
Pt 5.495 3.173 0.550
Pt 5.495 1.576 2.808
Pt 6.878 3.971 2.808
Pt 4.112 3.971 2.808
```

***

(2)
First-principles (PBE-GGA) data for crystalline Ac3PtAu at its relaxed geometry, as listed in Alexandria.

Properties
Its crystal system is orthorhombic. As for the energy relative to the lowest polymorph listed for this composition: 0 meV/atom.

```
10
Lattice="-3.607 -1.689 1.766 1.040 -3.389 -6.492 6.264 -7.974 5.166" Properties=species:S:1:pos:R:3 pbc="T T T"
Ac 4.569 -6.692 2.931
Ac -0.873 -6.360 -2.491
Ac 3.023 -7.618 -1.112
Ac 0.673 -5.434 1.552
Ac -1.570 -2.579 -0.298
Ac 5.266 -10.473 0.738
Pt 3.132 -3.987 2.583
Pt 0.000 0.000 0.000
Au 1.186 -4.099 -1.498
Au 2.510 -8.953 1.938
```

***

(3)
First-principles (PBE-GGA) data for crystalline Ac3PtAu2 at its relaxed geometry, as listed in Alexandria.

Properties
Its crystal system is monoclinic. As for the energy relative to the lowest polymorph listed for this composition: 7 meV/atom.

```
12
Lattice="-6.347 -0.155 0.403 0.560 -6.032 6.504 3.206 6.634 2.833" Properties=species:S:1:pos:R:3 pbc="T T T"
Ac -3.037 -1.585 1.828
Ac -2.750 -4.601 5.079
Ac 0.055 1.562 1.444
Ac -2.913 1.901 5.043
Ac 0.332 -1.454 4.697
Ac -2.636 -1.115 8.295
Pt -5.924 -4.679 5.280
Pt 0.137 -1.508 1.626
Au -2.836 -1.370 5.043
Au -3.113 1.646 1.791
Au 0.532 -1.199 7.949
Au 0.255 1.817 4.697
```

***

(4)
First-principles (PBE-GGA) data for crystalline Ac3Pt2Au at its relaxed geometry, as listed in Alexandria.

Properties
Its crystal system is tetragonal. As for the electronic total energy: -5.69 eV per atom.

```
6
Lattice="-3.407 -1.978 -2.153 -0.968 -2.358 3.695 -3.530 8.940 2.053" Properties=species:S:1:pos:R:3 pbc="T T T"
Ac -7.173 3.759 3.243
Ac -3.020 3.598 1.497
Ac -3.422 -0.684 1.386
Pt -1.150 1.383 0.573
Pt -5.293 1.531 2.310
Au -4.986 5.927 2.472
```

***

(5)
First-principles (PBE-GGA) data for crystalline Ac3Pt4Au2 at its relaxed geometry, as listed in Alexandria.

Properties
Its crystal system is trigonal. As for the electronic total energy: -5.73 eV per atom.

```
18
Lattice="-3.825 1.940 1.802 2.085 -3.522 2.213 13.931 16.003 12.341" Properties=species:S:1:pos:R:3 pbc="T T T"
Ac 3.690 2.406 5.243
Ac 8.272 7.670 9.302
Ac 12.877 12.959 13.381
Ac 1.184 -0.474 3.022
Ac 5.929 4.977 7.226
Ac 10.534 10.268 11.306
Pt 5.098 8.108 8.099
Pt 9.752 13.453 12.221
Pt -1.855 0.120 1.939
Pt 2.797 5.464 6.060
Pt 7.432 10.789 10.167
Pt 4.658 5.351 4.126
Pt 9.287 10.668 8.227
Pt 13.907 15.976 12.320
Au 2.423 2.784 2.147
Au 7.000 8.041 6.201
Au 11.587 13.310 10.264
Au 0.364 2.669 3.905
```

***

(6)
First-principles (PBE-GGA) data for crystalline Ac3Pt2Au2 at its relaxed geometry, as listed in Alexandria.

Properties
Its crystal system is triclinic. As for the electronic total energy: -5.33 eV per atom.

```
7
Lattice="-5.433 2.589 -0.130 3.981 -2.152 -3.970 -0.059 -9.114 3.714" Properties=species:S:1:pos:R:3 pbc="T T T"
Ac 0.000 0.000 0.000
Ac -1.876 -5.387 2.423
Ac 0.364 -3.290 -2.810
Pt -2.819 0.587 -1.269
Pt 1.307 -9.265 0.882
Au -1.241 -3.005 0.128
Au -0.271 -5.672 -0.515
```

***

> What is the formula in the second record?

Ac3PtAu